Entry from the Alexandria database: a geometry-optimized NaCoSN2 structure (PBE). Values from VASP.

- electronic total energy (eV/cell) = -25.60
- E above lowest polymorph (meV per atom) = 0.0
- total magnetic moment (μB/f.u.) = 0.508
- raw formation energy (eV per atom) = 0.720

Geometry as Quantum ESPRESSO input:
```
&SYSTEM
  ibrav = 0, nat = 5, ntyp = 4
/
ATOMIC_SPECIES
Na 22.99 Na.upf
Co 58.93 Co.upf
S 32.06 S.upf
N 14.01 N.upf
CELL_PARAMETERS angstrom
3.644 0.000 0.000
0.000 3.644 0.000
0.000 0.000 4.987
ATOMIC_POSITIONS crystal
Na 0.000 0.000 0.000
Co 0.500 0.500 0.500
S 0.500 0.500 0.000
N 0.000 0.500 0.500
N 0.500 0.000 0.500
```